Computed, not measured: Sr5Y3 after structural relaxation at the PBE level of DFT.

Lattice parameters (Å, degrees): 10.902 10.902 7.056 90.00 90.00 120.00
Positions (direct):
Y (0.000, 0.580, 0.250)
Y (0.580, 0.000, 0.250)
Sr (0.333, 0.667, 0.000)
Y (0.420, 0.420, 0.250)
Sr (0.000, 0.239, 0.250)
Sr (0.333, 0.667, 0.500)
Sr (0.000, 0.761, 0.750)
Y (0.580, 0.580, 0.750)
Sr (0.761, 0.000, 0.750)
Y (0.420, 0.000, 0.750)
Sr (0.239, 0.239, 0.750)
Sr (0.761, 0.761, 0.250)
Sr (0.239, 0.000, 0.250)
Y (0.000, 0.420, 0.750)
Sr (0.667, 0.333, 0.500)
Sr (0.667, 0.333, 0.000)

## Properties
* calculated volume: 726.2 Å³/cell
* polymorph energy (0 for the lowest one): 0.083 eV per atom
* DOS at the Fermi energy: 28.43 states/eV per cell
* energy of formation: 2.45 eV per formula unit

---

Computed, not measured: Pr2SmHg after structural relaxation at the PBE level of DFT.

Lattice parameters (Å, degrees): 3.748 3.748 11.144 80.32 80.32 60.00
Positions (direct):
Sm (0.500, 0.500, 0.501)
Pr (0.076, 0.076, 0.771)
Pr (0.257, 0.257, 0.228)
Hg (0.667, 0.667, 0.000)

## Properties
* calculated volume: 133.0 Å³/cell
* polymorph energy (0 for the lowest one): 0.089 eV per atom
* DOS at the Fermi energy: 4.73 states/eV per cell
* energy of formation: -0.54 eV per formula unit

---

Computed, not measured: La2TlAs2 after structural relaxation at the PBE level of DFT.

Lattice parameters (Å, degrees): 8.463 8.463 3.927 90.00 90.00 90.00
Positions (direct):
Tl (0.000, 0.000, 0.000)
La (0.857, 0.643, 0.000)
As (0.662, 0.838, 0.500)
La (0.643, 0.143, 0.000)
As (0.838, 0.338, 0.500)
Tl (0.500, 0.500, 0.000)
La (0.143, 0.357, 0.000)
As (0.338, 0.162, 0.500)
La (0.357, 0.857, 0.000)
As (0.162, 0.662, 0.500)

## Properties
* calculated volume: 281.2 Å³/cell
* polymorph energy (0 for the lowest one): 0.170 eV per atom
* DOS at the Fermi energy: 8.79 states/eV per cell
* energy of formation: -4.53 eV per formula unit

---

Computed, not measured: Be2Cl after structural relaxation at the PBE level of DFT.

Lattice parameters (Å, degrees): 3.034 3.034 4.889 90.00 90.00 120.00
Positions (direct):
Cl (0.000, 0.000, 0.000)
Be (0.667, 0.333, 0.646)
Be (0.333, 0.667, 0.354)

## Properties
* calculated volume: 39.0 Å³/cell
* polymorph energy (0 for the lowest one): 0.655 eV per atom
* E_form (uncorrected): 0.322 eV per atom
* DOS at the Fermi energy: 0.61 states/eV per cell

---

Computed, not measured: LiTaBe after structural relaxation at the PBE level of DFT.

Lattice parameters (Å, degrees): 4.105 4.105 2.722 90.00 90.00 120.00
Positions (direct):
Ta (0.333, 0.667, 0.670)
Li (0.667, 0.333, 0.203)
Be (0.000, 0.000, 0.127)

## Properties
* calculated volume: 39.7 Å³/cell
* polymorph energy (0 for the lowest one): 0.289 eV per atom
* DOS at the Fermi energy: 1.57 states/eV per cell
* energy of formation: 1.26 eV per formula unit

---

Computed, not measured: LiEuCu2 after structural relaxation at the PBE level of DFT.

Lattice parameters (Å, degrees): 3.403 4.832 4.832 90.00 90.00 90.00
Positions (direct):
Li (0.500, 0.500, 0.500)
Cu (0.000, 0.000, 0.500)
Cu (0.000, 0.500, 0.000)
Eu (0.500, 0.000, 0.000)

## Properties
* calculated volume: 79.5 Å³/cell
* polymorph energy (0 for the lowest one): 0.166 eV per atom
* DOS at the Fermi energy: 6.39 states/eV per cell
* energy of formation: 0.37 eV per formula unit

---

Computed, not measured: TaTi5Ir4 after structural relaxation at the PBE level of DFT.

Lattice parameters (Å, degrees): 3.174 3.174 15.443 90.00 90.00 90.00
Positions (direct):
Ir (0.000, 0.000, 0.597)
Ti (0.500, 0.500, 0.500)
Ti (0.500, 0.500, 0.695)
Ir (0.000, 0.000, 0.790)
Ti (0.500, 0.500, 0.108)
Ir (0.000, 0.000, 0.403)
Ti (0.500, 0.500, 0.892)
Ta (0.000, 0.000, 0.000)
Ti (0.500, 0.500, 0.305)
Ir (0.000, 0.000, 0.210)

## Properties
* calculated volume: 155.6 Å³/cell
* DOS at the Fermi energy: 8.51 states/eV per cell
* energy of formation: -6.81 eV per formula unit

---

no.,total energy (eV/atom)
1,-3.17
2,-3.78
3,-5.21
4,-2.78
5,-5.41
6,-5.00
7,-9.36